1.
A plane-wave DFT calculation with PBE was carried out for a geometry-optimized Te4IrBr structure.

Unit cell a=6.1666 b=6.1666 c=6.1666 alpha=60.00 beta=60.00 gamma=60.00
Positions (direct):
Te 0.1255 0.1255 0.1255
Te 0.1255 0.1255 0.6235
Te 0.1255 0.6235 0.1255
Te 0.6235 0.1255 0.1255
Ir 0.5000 0.5000 0.5000
Br 0.7500 0.7500 0.7500

Output
The relative energy among the computed polymorphs comes out at 1.081 eV per atom. Its total magnetization is 0.9 μB/cell.

=====

2.
A plane-wave DFT calculation with PBE was carried out for a geometry-optimized TbDy4Y5 structure.

Unit cell a=7.8893 b=7.8893 c=7.8893 alpha=99.10 beta=99.10 gamma=133.14
Positions (direct):
Tb 0.0000 0.0000 0.0000
Dy 0.1185 0.8176 0.3981
Dy 0.4195 0.7204 0.6019
Dy 0.7204 0.1185 0.3009
Dy 0.8176 0.4195 0.6991
Y 0.0353 0.1210 0.6197
Y 0.1210 0.5013 0.0857
Y 0.4156 0.0353 0.9143
Y 0.5013 0.4156 0.3803
Y 0.5421 0.5421 0.0000

Output
The relative energy among the computed polymorphs comes out at 0.122 eV per atom. The calculation puts the formation energy at 30 kJ/mol of atoms. Its total magnetization is 0.0 μB/cell.

=====

3.
A plane-wave DFT calculation with PBE was carried out for a geometry-optimized LiAs2Cl structure.

Unit cell a=10.5688 b=10.5688 c=3.2770 alpha=96.13 beta=96.13 gamma=19.22
Positions (direct):
Li 0.0000 0.0000 0.0000
As 0.2869 0.2869 0.9305
As 0.7131 0.7131 0.0695
Cl 0.5000 0.5000 0.5000

Output
The relative energy among the computed polymorphs comes out at 0.135 eV per atom. Its total magnetization is 0.0 μB/cell.

=====

4.
A plane-wave DFT calculation with PBE was carried out for a geometry-optimized Tm2ZnPd structure.

Unit cell a=4.9361 b=4.9361 c=4.9361 alpha=60.00 beta=60.00 gamma=60.00
Positions (direct):
Tm 0.2500 0.2500 0.2500
Tm 0.7500 0.7500 0.7500
Zn 0.0000 0.0000 0.0000
Pd 0.5000 0.5000 0.5000

Output
The relative energy among the computed polymorphs comes out at 0.024 eV per atom. The calculation puts the formation energy at -62 kJ/mol of atoms. Its total magnetization is 0.0 μB/cell.

=====

5.
A plane-wave DFT calculation with PBE was carried out for a geometry-optimized LiSnTe2N structure.

Unit cell a=5.5295 b=5.5295 c=3.7103 alpha=90.00 beta=90.00 gamma=90.00
Positions (direct):
Li 0.0000 0.0000 0.0000
Sn 0.5000 0.5000 0.5000
Te 0.0000 0.5000 0.0000
Te 0.5000 0.0000 0.0000
N 0.0000 0.0000 0.5000

Output
The relative energy among the computed polymorphs comes out at 0.173 eV per atom. Its total magnetization is 1.2 μB/cell.

=====

6.
A plane-wave DFT calculation with PBE was carried out for a geometry-optimized ScRhPb structure.

Unit cell a=4.6720 b=4.6720 c=3.1927 alpha=90.00 beta=90.00 gamma=120.00
Positions (direct):
Sc 0.0000 0.0000 0.0000
Rh 0.3333 0.6667 0.5012
Pb 0.6667 0.3333 0.4996

Output
The calculation puts the formation energy at -43 kJ/mol of atoms. Its total magnetization is 0.0 μB/cell.

=====

7.
A plane-wave DFT calculation with PBE was carried out for a geometry-optimized MnRuAu structure.

Unit cell a=4.1390 b=4.1390 c=4.1390 alpha=60.00 beta=60.00 gamma=60.00
Positions (direct):
Mn 0.0000 0.0000 0.0000
Ru 0.2500 0.2500 0.2500
Au 0.7500 0.7500 0.7500

Output
The relative energy among the computed polymorphs comes out at 0.320 eV per atom. The calculation puts the formation energy at 46 kJ/mol of atoms. Its total magnetization is 2.3 μB/cell.

=====

8.
A plane-wave DFT calculation with PBE was carried out for a geometry-optimized CrCdSe2 structure.

Unit cell a=5.3015 b=5.3015 c=4.1902 alpha=109.34 beta=109.34 gamma=88.08
Positions (direct):
Cr 0.0000 0.0000 0.0000
Cd 0.5000 0.5000 0.0000
Se 0.0000 0.5000 0.0000
Se 0.5000 0.0000 0.0000

Output
Its total magnetization is 4.0 μB/cell.

=====

9.
A plane-wave DFT calculation with PBE was carried out for a geometry-optimized Ac2SmNi9 structure.

Unit cell a=9.0269 b=9.0269 c=9.0269 alpha=32.72 beta=32.72 gamma=32.72
Positions (direct):
Ac 0.1356 0.1356 0.1356
Ac 0.8644 0.8644 0.8644
Sm 0.0000 0.0000 0.0000
Ni 0.0789 0.5765 0.5765
Ni 0.3327 0.3327 0.3327
Ni 0.4235 0.4235 0.9211
Ni 0.4235 0.9211 0.4235
Ni 0.5000 0.5000 0.5000
Ni 0.5765 0.0789 0.5765
Ni 0.5765 0.5765 0.0789
Ni 0.6673 0.6673 0.6673
Ni 0.9211 0.4235 0.4235

Output
The calculation puts the formation energy at -23 kJ/mol of atoms. Its total magnetization is 1.0 μB/cell.

=====

10.
A plane-wave DFT calculation with PBE was carried out for a geometry-optimized ScTlHgBi2 structure.

Unit cell a=5.5923 b=5.5923 c=5.8857 alpha=90.00 beta=90.00 gamma=90.00
Positions (direct):
Sc 0.0000 0.0000 0.0000
Tl 0.0000 0.0000 0.5000
Hg 0.5000 0.5000 0.5000
Bi 0.0000 0.5000 0.0000
Bi 0.5000 0.0000 0.0000

Output
The calculation puts the formation energy at 10 kJ/mol of atoms. Its total magnetization is 0.0 μB/cell.

=====

11.
A plane-wave DFT calculation with PBE was carried out for a geometry-optimized CeSm2Zn4 structure.

Unit cell a=7.3203 b=7.3203 c=7.3203 alpha=137.86 beta=137.86 gamma=61.12
Positions (direct):
Ce 0.0000 0.0000 0.0000
Sm 0.2785 0.2785 0.0000
Sm 0.7215 0.7215 0.0000
Zn 0.1086 0.6086 0.5000
Zn 0.3914 0.8914 0.5000
Zn 0.6086 0.1086 0.5000
Zn 0.8914 0.3914 0.5000

Output
The calculation puts the formation energy at -9 kJ/mol of atoms. Its total magnetization is 0.7 μB/cell.

=====

12.
A plane-wave DFT calculation with PBE was carried out for a geometry-optimized KRb2F3 structure.

Unit cell a=8.8832 b=8.8832 c=8.8832 alpha=154.05 beta=154.05 gamma=37.03
Positions (direct):
K 0.0000 0.0000 0.0000
Rb 0.3349 0.3349 0.0000
Rb 0.6651 0.6651 0.0000
F 0.1621 0.1621 0.0000
F 0.5000 0.5000 0.0000
F 0.8379 0.8379 0.0000

Output
The relative energy among the computed polymorphs comes out at 0.002 eV per atom. Its total magnetization is 0.2 μB/cell.

=====

For each record above, in turn, the calculated total DFT energy (no corrections) values are -2.82; -5.23; -3.95; -4.49; -3.44; -6.24; -6.76; -4.40; -5.65; -3.24; -3.02; -4.12 eV per atom.